Entry 1:
Density functional theory data (PBE-GGA) for a relaxed structure of K2AlW.

Values from the calculation:
Total magnetic moment: 0.75 μB/f.u.
Calculated formation energy: 3.24 eV per formula unit
Fermi-level density of states: 0.79 states/eV per atom
Calculated volume: 34.0 A^3/atom

Lattice parameters (Å, degrees): 3.615 3.615 10.399 90.00 90.00 90.00
Space group P4mm (No. 99)
Symmetry-distinct sites (fractional):
K  0.000  0.000  0.000 (multiplicity 1)
K  0.500  0.500  0.404 (multiplicity 1)
Al  0.500  0.500  0.711 (multiplicity 1)
W  0.000  0.000  0.682 (multiplicity 1)

Entry 2:
Density functional theory data (PBE-GGA) for a relaxed structure of PmY4Cu2.

Values from the calculation:
Total magnetic moment: 0.94 μB/f.u.
Calculated formation energy: 1.20 eV per formula unit
Fermi-level density of states: 1.64 states/eV per atom
Calculated volume: 28.8 A^3/atom

Lattice parameters (Å, degrees): 4.8669 4.8669 29.5198 90.00 90.00 120.00
Space group R-3m (No. 166, hexagonal axes)
Symmetry-distinct sites (fractional):
Pm  0.0000  0.0000  0.0000 (multiplicity 3)
Y  0.0000  0.0000  0.2007 (multiplicity 6)
Y  0.0000  0.0000  0.4006 (multiplicity 6)
Cu  0.0000  0.0000  0.1014 (multiplicity 6)

Entry 3:
Density functional theory data (PBE-GGA) for a relaxed structure of LiPr3Sm3Te8.

Values from the calculation:
Total magnetic moment: 0.00 μB/f.u.
Final energy: -5.0962 eV per atom
Fermi-level density of states: 0.29 states/eV per atom
Calculated volume: 33.6 A^3/atom

Lattice parameters (Å, degrees): 8.9212 8.9212 21.9294 90.00 90.00 120.00
Space group R-3m (No. 166, hexagonal axes)
Symmetry-distinct sites (fractional):
Li  0.0000  0.0000  0.0000 (multiplicity 3)
Pr  0.0000  0.5000  0.5000 (multiplicity 9)
Sm  0.0000  0.5000  0.0000 (multiplicity 9)
Te  0.0000  0.0000  0.2520 (multiplicity 6)
Te  0.0012  0.5006  0.7476 (multiplicity 18)

Entry 4:
Density functional theory data (PBE-GGA) for a relaxed structure of BaInS2Cl.

Values from the calculation:
Total magnetic moment: 2.02 μB/f.u.
Energy relative to the lowest polymorph listed for this composition: 76.65 kJ per mole of atoms
Fermi-level density of states: 1.68 states/eV per atom
Calculated volume: 44.9 A^3/atom

Lattice parameters (Å, degrees): 6.117 6.117 6.002 90.00 90.00 90.00
Space group P4/mmm (No. 123)
Symmetry-distinct sites (fractional):
Ba  0.000  0.000  0.000 (multiplicity 1)
In  0.500  0.500  0.500 (multiplicity 1)
S  0.000  0.500  0.000 (multiplicity 2)
Cl  0.000  0.000  0.500 (multiplicity 1)

Entry 5:
Density functional theory data (PBE-GGA) for a relaxed structure of Ac5In2Se12.

Values from the calculation:
Total magnetic moment: 0.00 μB/f.u.
Final energy: -4.9388 eV per atom
Fermi-level density of states: 0.31 states/eV per atom
Calculated volume: 33.0 A^3/atom

Lattice parameters (Å, degrees): 16.512 8.014 9.711 90.00 102.95 90.00
Space group C2/m (No. 12)
Symmetry-distinct sites (fractional):
Ac  0.000  0.000  0.000 (multiplicity 2)
Ac  0.174  0.500  0.304 (multiplicity 4)
Ac  0.207  0.500  0.844 (multiplicity 4)
In  0.000  0.242  0.500 (multiplicity 4)
Se  0.014  0.500  0.695 (multiplicity 4)
Se  0.034  0.000  0.698 (multiplicity 4)
Se  0.148  0.250  0.059 (multiplicity 8)
Se  0.184  0.248  0.562 (multiplicity 8)

Entry 6:
Density functional theory data (PBE-GGA) for a relaxed structure of Ba2ScCl.

Values from the calculation:
Total magnetic moment: 0.87 μB/f.u.
Energy relative to the lowest polymorph listed for this composition: 13.50 kJ per mole of atoms
Fermi-level density of states: 1.69 states/eV per atom
Calculated volume: 41.8 A^3/atom

Lattice parameters (Å, degrees): 4.087 6.399 6.400 90.00 90.01 90.00
Space group Pm (No. 6)
Symmetry-distinct sites (fractional):
Ba  0.000  0.000  0.000 (multiplicity 1)
Ba  0.002  0.500  0.499 (multiplicity 1)
Sc  0.501  0.000  0.500 (multiplicity 1)
Cl  0.000  0.500  0.999 (multiplicity 1)

Entry 7:
Density functional theory data (PBE-GGA) for a relaxed structure of Ce5TmPb3.

Values from the calculation:
Total magnetic moment: 8.37 μB/f.u.
Calculated formation energy: -2.69 eV per formula unit
Fermi-level density of states: 2.89 states/eV per atom
Calculated volume: 29.7 A^3/atom

Lattice parameters (Å, degrees): 9.6043 9.6043 6.6912 90.00 90.00 120.00
Space group P6_3/mcm (No. 193)
Symmetry-distinct sites (fractional):
Ce  0.0000  0.3376  0.2500 (multiplicity 6)
Ce  0.3333  0.6667  0.0000 (multiplicity 4)
Tm  0.0000  0.0000  0.0000 (multiplicity 2)
Pb  0.0000  0.3277  0.7500 (multiplicity 6)

Entry 8:
Density functional theory data (PBE-GGA) for a relaxed structure of KLi2Si.

Values from the calculation:
Total magnetic moment: 0.66 μB/f.u.
Final energy: -2.5710 eV per atom
Fermi-level density of states: 0.64 states/eV per atom
Calculated volume: 27.4 A^3/atom

Lattice parameters (Å, degrees): 7.907 4.564 6.609 90.00 113.12 90.00
Space group Cm (No. 8)
Symmetry-distinct sites (fractional):
K  0.000  0.000  0.000 (multiplicity 2)
Li  0.171  0.000  0.524 (multiplicity 2)
Li  0.478  0.000  0.443 (multiplicity 2)
Si  0.309  0.500  0.436 (multiplicity 2)

Entry 9:
Density functional theory data (PBE-GGA) for a relaxed structure of LaZrAl.

Values from the calculation:
Total magnetic moment: 1.67 μB/f.u.
Energy relative to the lowest polymorph listed for this composition: 95.39 kJ per mole of atoms
Calculated formation energy: 2.56 eV per formula unit
Fermi-level density of states: 1.36 states/eV per atom
Calculated volume: 29.8 A^3/atom

Lattice parameters (Å, degrees): 7.097 7.097 7.097 90.00 90.00 90.00
Space group F-43m (No. 216)
Symmetry-distinct sites (fractional):
La  0.000  0.000  0.000 (multiplicity 4)
Zr  0.250  0.250  0.750 (multiplicity 4)
Al  0.250  0.250  0.250 (multiplicity 4)

Entry 10:
Density functional theory data (PBE-GGA) for a relaxed structure of IrOsW2.

Values from the calculation:
Total magnetic moment: 0.00 μB/f.u.
Energy relative to the lowest polymorph listed for this composition: 0.67 kJ per mole of atoms
Calculated formation energy: -0.45 eV per formula unit
Fermi-level density of states: 0.81 states/eV per atom
Calculated volume: 15.2 A^3/atom

Lattice parameters (Å, degrees): 5.571 7.833 2.790 90.00 90.00 90.00
Space group Cmmm (No. 65)
Symmetry-distinct sites (fractional):
Ir  0.000  0.000  0.000 (multiplicity 2)
Os  0.000  0.500  0.000 (multiplicity 2)
W  0.250  0.250  0.500 (multiplicity 4)

Entry 11:
Density functional theory data (PBE-GGA) for a relaxed structure of TaHRh2Au.

Values from the calculation:
Total magnetic moment: 0.00 μB/f.u.
Final energy: -6.8055 eV per atom
Fermi-level density of states: 0.73 states/eV per atom
Calculated volume: 13.1 A^3/atom

Lattice parameters (Å, degrees): 4.050 4.050 3.993 90.00 90.00 90.00
Space group P4/mmm (No. 123)
Symmetry-distinct sites (fractional):
Ta  0.000  0.000  0.000 (multiplicity 1)
H  0.000  0.000  0.500 (multiplicity 1)
Rh  0.000  0.500  0.500 (multiplicity 2)
Au  0.500  0.500  0.000 (multiplicity 1)

Entry 12:
Density functional theory data (PBE-GGA) for a relaxed structure of Nb8In2C.

Values from the calculation:
Total magnetic moment: 0.00 μB/f.u.
Calculated formation energy: 2.47 eV per formula unit
Fermi-level density of states: 0.95 states/eV per atom
Calculated volume: 18.4 A^3/atom

Lattice parameters (Å, degrees): 14.716 5.794 5.022 90.00 109.06 90.00
Space group C2/m (No. 12)
Symmetry-distinct sites (fractional):
Nb  0.056  0.239  0.307 (multiplicity 8)
Nb  0.148  0.000  0.930 (multiplicity 4)
Nb  0.246  0.500  0.462 (multiplicity 4)
In  0.138  0.500  0.850 (multiplicity 4)
C  0.000  0.500  0.000 (multiplicity 2)

Entry 13:
Density functional theory data (PBE-GGA) for a relaxed structure of La2MnTe.

Values from the calculation:
Total magnetic moment: 3.14 μB/f.u.
Final energy: -5.9701 eV per atom
Fermi-level density of states: 1.12 states/eV per atom
Calculated volume: 31.8 A^3/atom

Lattice parameters (Å, degrees): 4.2381 4.2381 24.4918 90.00 90.00 120.00
Space group R-3m (No. 166, hexagonal axes)
Symmetry-distinct sites (fractional):
La  0.0000  0.0000  0.2455 (multiplicity 6)
Mn  0.0000  0.0000  0.5000 (multiplicity 3)
Te  0.0000  0.0000  0.0000 (multiplicity 3)

Entry 14:
Density functional theory data (PBE-GGA) for a relaxed structure of MnFeSi2Ni.

Values from the calculation:
Total magnetic moment: 6.83 μB/f.u.
Final energy: -6.2053 eV per atom
Fermi-level density of states: 0.66 states/eV per atom
Calculated volume: 16.3 A^3/atom

Lattice parameters (Å, degrees): 4.200 4.200 4.620 90.00 90.00 90.00
Space group P4/mmm (No. 123)
Symmetry-distinct sites (fractional):
Mn  0.000  0.000  0.000 (multiplicity 1)
Fe  0.500  0.500  0.000 (multiplicity 1)
Si  0.000  0.500  0.500 (multiplicity 2)
Ni  0.000  0.000  0.500 (multiplicity 1)

Entry 15:
Density functional theory data (PBE-GGA) for a relaxed structure of Tb3DyGa2.

Values from the calculation:
Total magnetic moment: 0.00 μB/f.u.
Energy relative to the lowest polymorph listed for this composition: 9.83 kJ per mole of atoms
Calculated formation energy: -1.93 eV per formula unit
Fermi-level density of states: 0.85 states/eV per atom
Calculated volume: 26.6 A^3/atom

Lattice parameters (Å, degrees): 16.151 5.043 8.888 90.00 117.95 90.00
Space group C2/m (No. 12)
Symmetry-distinct sites (fractional):
Tb  0.062  0.000  0.217 (multiplicity 4)
Tb  0.123  0.500  0.012 (multiplicity 4)
Tb  0.188  0.500  0.497 (multiplicity 4)
Dy  0.128  0.000  0.690 (multiplicity 4)
Ga  0.014  0.500  0.650 (multiplicity 4)
Ga  0.228  0.000  0.113 (multiplicity 4)

Entry 16:
Density functional theory data (PBE-GGA) for a relaxed structure of SrTiOs2.

Values from the calculation:
Total magnetic moment: 0.00 μB/f.u.
Energy relative to the lowest polymorph listed for this composition: 0.00 kJ per mole of atoms
Calculated formation energy: 2.48 eV per formula unit
Fermi-level density of states: 0.88 states/eV per atom
Calculated volume: 17.9 A^3/atom

Lattice parameters (Å, degrees): 6.588 6.588 6.588 90.00 90.00 90.00
Space group Fm-3m (No. 225)
Symmetry-distinct sites (fractional):
Sr  0.000  0.000  0.000 (multiplicity 4)
Ti  0.000  0.000  0.500 (multiplicity 4)
Os  0.250  0.250  0.250 (multiplicity 8)

Entry 17:
Density functional theory data (PBE-GGA) for a relaxed structure of PmMg5Pb6.

Values from the calculation:
Total magnetic moment: 0.00 μB/f.u.
Calculated formation energy: -1.35 eV per formula unit
Fermi-level density of states: 0.40 states/eV per atom
Calculated volume: 27.5 A^3/atom

Lattice parameters (Å, degrees): 9.861 10.518 6.487 90.00 101.15 90.00
Space group C2/m (No. 12)
Symmetry-distinct sites (fractional):
Pm  0.000  0.000  0.000 (multiplicity 2)
Mg  0.000  0.163  0.500 (multiplicity 4)
Mg  0.000  0.339  0.000 (multiplicity 4)
Mg  0.000  0.500  0.500 (multiplicity 2)
Pb  0.241  0.328  0.741 (multiplicity 8)
Pb  0.244  0.500  0.257 (multiplicity 4)

Entry 18:
Density functional theory data (PBE-GGA) for a relaxed structure of Ti2FeHRh.

Values from the calculation:
Total magnetic moment: 0.00 μB/f.u.
Energy relative to the lowest polymorph listed for this composition: 11.79 kJ per mole of atoms
Fermi-level density of states: 0.79 states/eV per atom
Calculated volume: 11.9 A^3/atom

Lattice parameters (Å, degrees): 4.135 4.135 3.475 90.00 90.00 90.00
Space group P4/mmm (No. 123)
Symmetry-distinct sites (fractional):
Ti  0.000  0.500  0.000 (multiplicity 2)
Fe  0.000  0.000  0.500 (multiplicity 1)
H  0.500  0.500  0.000 (multiplicity 1)
Rh  0.500  0.500  0.500 (multiplicity 1)

Entry 19:
Density functional theory data (PBE-GGA) for a relaxed structure of Y2Ga2Rh.

Values from the calculation:
Total magnetic moment: 0.00 μB/f.u.
Energy relative to the lowest polymorph listed for this composition: 58.89 kJ per mole of atoms
Calculated formation energy: -0.88 eV per formula unit
Fermi-level density of states: 1.05 states/eV per atom
Calculated volume: 23.1 A^3/atom

Lattice parameters (Å, degrees): 7.952 7.952 3.649 90.00 90.00 90.00
Space group P4/mbm (No. 127)
Symmetry-distinct sites (fractional):
Y  0.188  0.312  0.000 (multiplicity 4)
Ga  0.111  0.611  0.500 (multiplicity 4)
Rh  0.000  0.000  0.000 (multiplicity 2)

Entry 20:
Density functional theory data (PBE-GGA) for a relaxed structure of Rb5CuAgO2.

Values from the calculation:
Total magnetic moment: 0.23 μB/f.u.
Final energy: -3.0596 eV per atom
Fermi-level density of states: 0.39 states/eV per atom
Calculated volume: 34.8 A^3/atom

Lattice parameters (Å, degrees): 5.783 5.783 9.361 90.00 90.00 90.00
Space group P4/mmm (No. 123)
Symmetry-distinct sites (fractional):
Rb  0.000  0.000  0.000 (multiplicity 1)
Rb  0.000  0.500  0.285 (multiplicity 4)
Cu  0.000  0.000  0.500 (multiplicity 1)
Ag  0.500  0.500  0.000 (multiplicity 1)
O  0.000  0.000  0.305 (multiplicity 2)